Entry 1:
Compound: SrCoSe3
Source: the Alexandria database
Functional: PBE-GGA
Structure: optimized geometry

Cell lengths 5.7073, 5.7073, 5.7073 Å; angles 90.00, 90.00, 90.00 degrees
With the nearest neighbours (Å) after each atom.
Sites, in units of the cell vectors:
Sr: 0.0000 0.0000 0.0000  6 Se 2.85
Co: 0.5000 0.5000 0.5000  12 Se 4.04
Se: 0.0000 0.0000 0.5000  2 Sr 2.85
Se: 0.0000 0.5000 0.0000  2 Sr 2.85
Se: 0.5000 0.0000 0.0000  2 Sr 2.85

Volume: 37.2 A^3/atom
Formation energy without anion corrections: 390 kJ/mol of formula units
Distance to the lowest polymorph of the same formula: 7.15 eV per formula unit
Spin magnetization: 2.43 μB per formula unit


Entry 2:
Compound: SrCo2Se
Source: the Alexandria database
Functional: PBE-GGA
Structure: optimized geometry

Cell lengths 4.0712, 4.0712, 16.3250 Å; angles 90.00, 90.00, 120.00 degrees
With the nearest neighbours (Å) after each atom.
Sites, in units of the cell vectors:
Sr: 0.0000 0.0000 0.0000  4 Se 3.21-3.25, 7 Co 3.22-3.32
Sr: 0.3333 0.6667 0.6667  4 Se 3.21-3.25, 7 Co 3.22-3.32
Sr: 0.6667 0.3333 0.3333  4 Se 3.21-3.25, 7 Co 3.22-3.32
Co: 0.0000 0.0000 0.1986  3 Co 2.35, 3 Se 2.58
Co: 0.0000 0.0000 0.5231  3 Co 2.35, 3 Se 2.52
Co: 0.3333 0.6667 0.1897  3 Co 2.35, 3 Se 2.52
Co: 0.3333 0.6667 0.8653  3 Co 2.35, 3 Se 2.58
Co: 0.6667 0.3333 0.5319  3 Co 2.35, 3 Se 2.58
Co: 0.6667 0.3333 0.8564  3 Co 2.35, 3 Se 2.52
Se: 0.0000 0.0000 0.8008  6 Co 2.52-2.58
Se: 0.3333 0.6667 0.4675  6 Co 2.52-2.58
Se: 0.6667 0.3333 0.1342  6 Co 2.52-2.58

Volume: 19.5 A^3/atom
Formation energy without anion corrections: -106 kJ/mol of formula units
Spin magnetization: 2.42 μB per formula unit


Entry 3:
Compound: SrCo2Se
Source: the Alexandria database
Functional: PBE-GGA
Structure: optimized geometry

Cell lengths 3.8715, 3.8414, 5.6439 Å; angles 90.00, 98.43, 90.00 degrees
With the nearest neighbours (Å) after each atom.
Sites, in units of the cell vectors:
Sr: 0.0000 0.0000 0.0000  5 Co 3.11-3.35, 4 Se 3.14-3.20
Co: 0.1184 0.5000 0.5433  2 Co 2.32, 2 Se 2.37-2.44
Co: 0.4526 0.0000 0.5369  2 Co 2.32, 2 Se 2.46
Se: 0.5746 0.5000 0.2883  4 Co 2.37-2.46

Volume: 20.8 A^3/atom
Formation energy without anion corrections: -46 kJ/mol of formula units
Spin magnetization: 3.23 μB per formula unit


Entry 4:
Compound: SrCo2Se
Source: the Alexandria database
Functional: PBE-GGA
Structure: optimized geometry

Cell lengths 4.5620, 5.0440, 6.7152 Å; angles 90.00, 90.00, 90.00 degrees
With the nearest neighbours (Å) after each atom.
Sites, in units of the cell vectors:
Sr: 0.0000 0.0000 0.0000  4 Se 3.06-3.25, 5 Co 3.21-3.42, 4 Sr 3.40
Sr: 0.5000 0.5000 0.0000  4 Se 3.06-3.25, 5 Co 3.21-3.42, 4 Sr 3.40
Co: 0.0000 0.0000 0.4776  4 Co 2.45-2.68, 2 Se 2.71
Co: 0.0000 0.5000 0.3434  1 Se 2.36, 2 Co 2.45
Co: 0.5000 0.0000 0.3434  1 Se 2.36, 2 Co 2.45
Co: 0.5000 0.5000 0.4776  4 Co 2.45-2.68, 2 Se 2.71
Se: 0.0000 0.5000 0.6955  1 Co 2.36
Se: 0.5000 0.0000 0.6955  1 Co 2.36

Volume: 19.3 A^3/atom
Formation energy without anion corrections: 25 kJ/mol of formula units
Spin magnetization: 3.75 μB per formula unit


Entry 5:
Compound: SrCo2Se
Source: the Alexandria database
Functional: PBE-GGA
Structure: optimized geometry

Cell lengths 3.3709, 3.3709, 6.7402 Å; angles 90.00, 90.00, 90.00 degrees
With the nearest neighbours (Å) after each atom.
Sites, in units of the cell vectors:
Sr: 0.0000 0.0000 0.0000  4 Se 3.16, 6 Co 3.20-3.54, 4 Sr 3.37
Co: 0.0000 0.0000 0.4752  4 Co 2.55, 4 Se 2.80
Co: 0.5000 0.5000 0.3407  1 Se 2.37, 4 Co 2.55
Se: 0.5000 0.5000 0.6920  1 Co 2.37

Volume: 19.1 A^3/atom
Formation energy without anion corrections: 26 kJ/mol of formula units
Spin magnetization: 3.70 μB per formula unit


Entry 6:
Compound: SrCo2Se
Source: the Alexandria database
Functional: PBE-GGA
Structure: optimized geometry

Cell lengths 4.7554, 4.7554, 6.8430 Å; angles 90.00, 90.00, 90.00 degrees
With the nearest neighbours (Å) after each atom.
Sites, in units of the cell vectors:
Sr: 0.0000 0.0000 0.0000  4 Se 2.93, 4 Co 2.93
Sr: 0.5000 0.5000 0.5000  4 Se 2.93, 4 Co 2.93
Co: 0.0000 0.0000 0.5000  4 Se 2.93, 4 Co 2.93
Co: 0.0000 0.5000 0.7500  4 Sr 2.93, 4 Co 2.93
Co: 0.5000 0.0000 0.2500  4 Co 2.93, 4 Sr 2.93
Co: 0.5000 0.5000 0.0000  4 Se 2.93, 4 Co 2.93
Se: 0.0000 0.5000 0.2500  4 Co 2.93, 4 Sr 2.93
Se: 0.5000 0.0000 0.7500  4 Sr 2.93, 4 Co 2.93

Volume: 19.3 A^3/atom
Formation energy without anion corrections: 146 kJ/mol of formula units
Spin magnetization: 3.63 μB per formula unit


Entry 7:
Compound: SrCo2Se
Source: the Alexandria database
Functional: PBE-GGA
Structure: optimized geometry

Cell lengths 4.0853, 4.0736, 4.8779 Å; angles 90.00, 90.09, 90.00 degrees
With the nearest neighbours (Å) after each atom.
Sites, in units of the cell vectors:
Sr: 0.0000 0.0000 0.0000  4 Se 2.88, 8 Co 3.18
Co: 0.0000 0.5000 0.5000  4 Co 2.88, 4 Sr 3.18, 4 Se 3.18
Co: 0.5000 0.0000 0.5000  4 Co 2.88, 4 Se 3.18, 4 Sr 3.18
Se: 0.5000 0.5000 0.0000  4 Sr 2.88, 8 Co 3.18

Volume: 20.3 A^3/atom
Formation energy without anion corrections: 112 kJ/mol of formula units
Spin magnetization: 3.89 μB per formula unit


Entry 8:
Compound: SrCo2Se
Source: the Alexandria database
Functional: PBE-GGA
Structure: optimized geometry

Cell lengths 4.7008, 4.7008, 15.6706 Å; angles 90.00, 90.00, 90.00 degrees
With the nearest neighbours (Å) after each atom.
Sites, in units of the cell vectors:
Sr: 0.0000 0.2500 0.3750  8 Co 3.28, 4 Se 3.32
Sr: 0.0000 0.7500 0.6250  8 Co 3.28, 4 Se 3.32
Sr: 0.5000 0.2500 0.1250  8 Co 3.28, 4 Se 3.32
Sr: 0.5000 0.7500 0.8750  8 Co 3.28, 4 Se 3.32
Co: 0.0000 0.0000 0.0000  2 Se 2.28, 2 Co 2.35
Co: 0.0000 0.5000 0.0000  2 Se 2.28, 2 Co 2.35
Co: 0.2500 0.2500 0.7500  2 Se 2.28, 2 Co 2.35
Co: 0.2500 0.7500 0.2500  2 Se 2.28, 2 Co 2.35
Co: 0.5000 0.0000 0.5000  2 Se 2.28, 2 Co 2.35
Co: 0.5000 0.5000 0.5000  2 Se 2.28, 2 Co 2.35
Co: 0.7500 0.2500 0.7500  2 Se 2.28, 2 Co 2.35
Co: 0.7500 0.7500 0.2500  2 Se 2.28, 2 Co 2.35
Se: 0.0000 0.2500 0.8750  4 Co 2.28
Se: 0.0000 0.7500 0.1250  4 Co 2.28
Se: 0.5000 0.2500 0.6250  4 Co 2.28
Se: 0.5000 0.7500 0.3750  4 Co 2.28

Volume: 21.6 A^3/atom
Formation energy without anion corrections: -72 kJ/mol of formula units
Spin magnetization: 1.61 μB per formula unit


Entry 9:
Compound: SrCo2Se
Source: the Alexandria database
Functional: PBE-GGA
Structure: optimized geometry

Cell lengths 3.6070, 3.6070, 6.1532 Å; angles 90.00, 90.00, 90.00 degrees
With the nearest neighbours (Å) after each atom.
Sites, in units of the cell vectors:
Sr: 0.0000 0.0000 0.0000  2 Se 3.08, 8 Co 3.24
Co: 0.5000 0.5000 0.3241  1 Co 2.16
Co: 0.5000 0.5000 0.6759  1 Co 2.16
Se: 0.0000 0.0000 0.5000  8 Co 2.77, 2 Sr 3.08

Volume: 20.0 A^3/atom
Formation energy without anion corrections: 137 kJ/mol of formula units
Spin magnetization: 3.75 μB per formula unit


Entry 10:
Compound: SrCo2Se
Source: the Alexandria database
Functional: PBE-GGA
Structure: optimized geometry

Cell lengths 3.2449, 5.0878, 9.1550 Å; angles 90.00, 90.00, 90.00 degrees
With the nearest neighbours (Å) after each atom.
Sites, in units of the cell vectors:
Sr: 0.0000 0.0000 0.0000  4 Se 3.02, 8 Co 3.15-3.16, 2 Sr 3.24
Sr: 0.5000 0.5000 0.5000  4 Se 3.02, 8 Co 3.15-3.16, 2 Sr 3.24
Co: 0.0000 0.5000 0.2038  2 Se 2.47
Co: 0.0000 0.5000 0.7962  2 Se 2.47
Co: 0.5000 0.0000 0.2962  2 Se 2.47
Co: 0.5000 0.0000 0.7038  2 Se 2.47
Se: 0.0000 0.0000 0.5000  4 Co 2.47
Se: 0.5000 0.5000 0.0000  4 Co 2.47

Volume: 18.9 A^3/atom
Formation energy without anion corrections: 112 kJ/mol of formula units
Spin magnetization: 2.41 μB per formula unit


Entry 11:
Compound: SrCoSe4
Source: the Alexandria database
Functional: PBE-GGA
Structure: optimized geometry

Cell lengths 5.8441, 5.8441, 5.8441 Å; angles 60.00, 60.00, 60.00 degrees
With the nearest neighbours (Å) after each atom.
Sites, in units of the cell vectors:
Sr: 0.0000 0.0000 0.0000  12 Se 3.43, 4 Co 3.58
Co: 0.7500 0.7500 0.7500  12 Se 3.42, 4 Sr 3.58
Se: 0.3767 0.3767 0.3767  6 Se 2.88-2.96
Se: 0.3767 0.3767 0.8699  6 Se 2.88-2.96
Se: 0.3767 0.8699 0.3767  6 Se 2.88-2.96
Se: 0.8699 0.3767 0.3767  6 Se 2.88-2.96

Volume: 23.5 A^3/atom
Formation energy without anion corrections: 127 kJ/mol of formula units
Spin magnetization: 2.45 μB per formula unit


Entry 12:
Compound: SrCo2Se
Source: the Alexandria database
Functional: PBE-GGA
Structure: optimized geometry

Cell lengths 4.0248, 4.0248, 9.9306 Å; angles 90.00, 90.00, 90.00 degrees
With the nearest neighbours (Å) after each atom.
Sites, in units of the cell vectors:
Sr: 0.0000 0.0000 0.0000  4 Se 2.85
Sr: 0.5000 0.5000 0.5000  4 Se 2.85
Co: 0.0000 0.5000 0.2500  4 Co 2.85
Co: 0.0000 0.5000 0.7500  4 Co 2.85
Co: 0.5000 0.0000 0.2500  4 Co 2.85
Co: 0.5000 0.0000 0.7500  4 Co 2.85
Se: 0.0000 0.0000 0.5000  4 Sr 2.85
Se: 0.5000 0.5000 0.0000  4 Sr 2.85

Volume: 20.1 A^3/atom
Formation energy without anion corrections: 133 kJ/mol of formula units
Spin magnetization: 3.36 μB per formula unit